1.
Here is an optimized crystal structure of MgRe2P2 from Alexandria. Energies are from PBE.

Cell: 5.8398 5.8398 5.8398 Å, 139.44 139.44 58.71°
With the nearest neighbours (Å) after each atom.
Sites, in units of the cell vectors:
Mg 0.0000 0.0000 0.0000  8 Re 3.13, 8 P 3.25
Re 0.3763 0.3763 0.0000  4 P 2.40, 1 Re 2.52
Re 0.6237 0.6237 0.0000  4 P 2.40, 1 Re 2.52
P 0.2500 0.7500 0.5000  4 Re 2.40
P 0.7500 0.2500 0.5000  4 Re 2.40



2.
Here is an optimized crystal structure of TbZrCd4 from Alexandria. Energies are from PBE.

Values from the calculation:
Excess energy over the best structure of this formula in the dataset ... 66 meV/atom

Cell: 5.8023 5.8023 5.8023 Å, 60.00 60.00 60.00°
With the nearest neighbours (Å) after each atom.
Sites, in units of the cell vectors:
Tb 0.0000 0.0000 0.0000  12 Cd 3.40, 4 Zr 3.55
Zr 0.7500 0.7500 0.7500  12 Cd 3.40, 4 Tb 3.55
Cd 0.3754 0.3754 0.3754  6 Cd 2.89-2.91
Cd 0.3754 0.3754 0.8739  6 Cd 2.89-2.91
Cd 0.3754 0.8739 0.3754  6 Cd 2.89-2.91
Cd 0.8739 0.3754 0.3754  6 Cd 2.89-2.91



3.
Here is an optimized crystal structure of TbLuAlPd from Alexandria. Energies are from PBE.

Cell: 5.0150 5.0150 5.0150 Å, 60.00 60.00 60.00°
With the nearest neighbours (Å) after each atom.
Sites, in units of the cell vectors:
Tb 0.0000 0.0000 0.0000  4 Pd 3.07, 4 Al 3.07
Lu 0.5000 0.5000 0.5000  4 Pd 3.07, 4 Al 3.07
Al 0.2500 0.2500 0.2500  4 Tb 3.07, 4 Lu 3.07
Pd 0.7500 0.7500 0.7500  4 Lu 3.07, 4 Tb 3.07



4.
Here is an optimized crystal structure of HfScAlTc from Alexandria. Energies are from PBE.

Values from the calculation:
Excess energy over the best structure of this formula in the dataset ... 0 meV/atom

Cell: 3.3620 3.3620 6.4892 Å, 90.00 90.00 90.00°
With the nearest neighbours (Å) after each atom.
Sites, in units of the cell vectors:
Hf 0.0000 0.0000 0.0000  4 Tc 2.77, 4 Al 2.94, 1 Sc 3.02
Sc 0.0000 0.0000 0.5351  4 Tc 2.86, 4 Al 2.94, 1 Hf 3.02
Al 0.5000 0.5000 0.2674  4 Hf 2.94, 4 Sc 2.94, 1 Tc 3.15
Tc 0.5000 0.5000 0.7814  4 Hf 2.77, 4 Sc 2.86



no.,E_form (eV/atom),ρ (g/cm3),electronic total energy (eV per atom)
1,0.042,9.1,-7.4198
2,-0.118,8.4,-2.9247
3,-0.592,8.7,-5.1141
4,-0.473,7.9,-8.0710